Material: Ca3Pu2ZrAs6
Method: DFT, PBE
State: optimized geometry

Unit cell a=7.146 b=7.146 c=7.192 alpha=99.54 beta=99.54 gamma=120.01
Element x y z (fractional)
1 Ca 0.000 0.000 0.000
2 Ca 0.333 0.667 0.000
3 Ca 0.667 0.333 0.000
4 Pu 0.167 0.833 0.500
5 Pu 0.833 0.167 0.500
6 Zr 0.500 0.500 0.500
7 As 0.098 0.424 0.273
8 As 0.250 0.250 0.727
9 As 0.424 0.098 0.273
10 As 0.576 0.902 0.727
11 As 0.750 0.750 0.273
12 As 0.902 0.576 0.727

calculated density = 6.4 g/cm3
formation energy = -1.08 eV/atom
DOS(E_F) = 23.323 states/eV per cell
total energy = -84.091 eV per cell